A plane-wave DFT calculation with PBE was carried out for crystalline DyYAlPd at its relaxed geometry.

```
4
Lattice="5.0629 0.0000 0.0000 2.5314 4.3846 0.0000 2.5314 1.4615 4.1338" Properties=species:S:1:pos:R:3 pbc="T T T"
Y 7.5943 4.3846 3.1004
Al 0.0000 0.0000 0.0000
Pd 5.0629 2.9230 2.0669
Dy 2.5314 1.4615 1.0335
```

Results
* V: 22.94 A^3/atom
* DFT formation energy: -0.58 eV/atom
* energy above the lowest structure with this stoichiometry: 1.10 kcal/mol of atoms
* SG: F-43m